Material: CoBiH2O4
Method: DFT, PBE+U
State: relaxed

Summary:
The calculated volume comes out at 81.3 Å³/f.u. As for the space group: I222 (23). For the total energy, the calculation gives -5.342 eV/atom. Its spin magnetization is 2.00 Bohr magnetons per cell.

abc: 4.6523 4.7965 4.7965
angles: 71.13 60.99 60.99
Site moments in Bohr magnetons follow the coordinates.
Element x y z (fractional)
Co 0.5000 0.5000 0.5000  1.91
Bi 0.0000 0.0000 0.0000  0.01
H 0.1832 0.3168 0.3168  0.00
H 0.8168 0.6832 0.6832  0.00
O 0.4102 0.1957 0.4288  0.01
O 0.0347 0.8043 0.5712  0.01
O 0.9653 0.4288 0.1957  0.01
O 0.5898 0.5712 0.8043  0.01